1.
First-principles (GGA-PBE) data for a geometry-optimized TlHg2Pt structure, as listed in Alexandria.

Summary:
Formation energy (meV/atom): 188
Size of the total moment (μB/cell): 0.0
Space group: I-4m2 (119)

Geometry as extended XYZ:
```
4
Lattice="5.282 0.049 0.000 1.267 5.128 0.000 -3.275 -2.589 3.237" Properties=species:S:1:pos:R:3 pbc="T T T"
Hg 0.000 0.000 0.000
Hg 0.634 2.564 1.618
Pt 3.275 2.589 0.000
Tl 2.641 0.025 1.618
```



2.
First-principles (GGA-PBE) data for a geometry-optimized TlHgPt2 structure, as listed in Alexandria.

Summary:
Formation energy (meV/atom): 127
Size of the total moment (μB/cell): 0.0
Space group: R-3m (166)

Geometry as extended XYZ:
```
4
Lattice="-1.872 8.144 -3.227 -4.346 7.733 -1.248 -1.561 8.820 -0.120" Properties=species:S:1:pos:R:3 pbc="T T T"
Hg -5.835 18.523 -3.447
Pt -7.779 24.696 -4.595
Pt -3.890 12.350 -2.298
Tl -1.945 6.174 -1.149
```



3.
First-principles (GGA-PBE) data for a geometry-optimized Tl2HgPt structure, as listed in Alexandria.

Summary:
Formation energy (meV/atom): 33
Size of the total moment (μB/cell): 0.0
Space group: R3m (160)

Geometry as extended XYZ:
```
4
Lattice="4.245 0.000 0.000 2.123 3.677 0.000 2.123 1.226 7.123" Properties=species:S:1:pos:R:3 pbc="T T T"
Tl 2.123 1.226 5.697
Tl 2.123 1.226 1.384
Hg 4.245 2.451 3.578
Pt 4.245 2.451 0.025
```



4.
First-principles (GGA-PBE) data for a geometry-optimized TlHg2Pt structure, as listed in Alexandria.

Summary:
Formation energy (meV/atom): 236
Size of the total moment (μB/cell): 0.0
Space group: P4/mmm (123)

Geometry as extended XYZ:
```
4
Lattice="-4.141 -2.617 -2.228 3.244 -1.825 -3.886 0.649 -2.481 1.707" Properties=species:S:1:pos:R:3 pbc="T T T"
Hg 0.000 0.000 0.000
Hg -0.448 -2.221 -3.057
Pt -1.746 -2.549 -0.260
Tl 1.947 -2.153 -1.089
```



5.
First-principles (GGA-PBE) data for a geometry-optimized TlHg2Pt structure, as listed in Alexandria.

Summary:
Formation energy (meV/atom): 133
Size of the total moment (μB/cell): 0.0
Space group: R-3m (166)

Geometry as extended XYZ:
```
4
Lattice="-3.294 7.885 -4.466 -5.063 5.527 -6.065 -6.147 6.736 -3.131" Properties=species:S:1:pos:R:3 pbc="T T T"
Hg -0.150 0.209 -0.142
Hg -7.102 9.865 -6.689
Pt -10.878 15.110 -10.246
Tl -3.626 5.037 -3.415
```



6.
First-principles (GGA-PBE) data for a geometry-optimized TlHg2Pt structure, as listed in Alexandria.

Summary:
Formation energy (meV/atom): 64
Size of the total moment (μB/cell): 0.0
Space group: C2/m (12)

Geometry as extended XYZ:
```
4
Lattice="6.938 -0.019 -0.081 6.255 3.002 -0.081 1.625 0.367 4.443" Properties=species:S:1:pos:R:3 pbc="T T T"
Hg 2.190 0.495 4.225
Hg 6.844 1.547 2.358
Pt 11.114 2.513 3.211
Tl 3.705 0.838 1.070
```



Summary of electronic total energy in eV per atom
-2.064 -3.560 -2.736 -2.017 -2.120 -2.189
(order as listed above)